1.
The following is a DFT calculation (PBE) of a relaxed LaPm2NdDy2 crystal.

Unit cell a=6.638 b=18.315 c=3.434 alpha=90.00 beta=90.00 gamma=90.00
Element x y z (fractional)
1 La 0.000 0.000 0.000
2 La 0.500 0.500 0.500
3 Pm 0.219 0.188 0.000
4 Pm 0.281 0.688 0.500
5 Pm 0.719 0.312 0.500
6 Pm 0.781 0.812 0.000
7 Nd 0.000 0.500 0.000
8 Nd 0.500 0.000 0.500
9 Dy 0.216 0.352 0.500
10 Dy 0.284 0.852 0.000
11 Dy 0.716 0.148 0.000
12 Dy 0.784 0.648 0.500

Calculated values
space-group type = No. 58
energy = -4.48 eV per atom

2.
The following is a DFT calculation (PBE) of a relaxed OsSe2S2 crystal.

Unit cell a=5.630 b=5.630 c=8.777 alpha=90.00 beta=90.00 gamma=90.00
Element x y z (fractional)
1 Os 0.000 0.000 0.000
2 Os 0.500 0.500 0.000
3 Se 0.250 0.250 0.500
4 Se 0.250 0.750 0.500
5 Se 0.750 0.250 0.500
6 Se 0.750 0.750 0.500
7 S 0.133 0.367 0.000
8 S 0.367 0.867 0.000
9 S 0.633 0.133 0.000
10 S 0.867 0.633 0.000

Calculated values
space-group type = No. 127
formation energy (no corrections) = 152 kJ/mol of formula units

3.
The following is a DFT calculation (PBE) of a relaxed Na6Tl12As crystal.

Unit cell a=8.390 b=8.390 c=8.390 alpha=77.70 beta=77.70 gamma=77.70
Element x y z (fractional)
1 Na 0.279 0.279 0.642
2 Na 0.279 0.642 0.279
3 Na 0.358 0.721 0.721
4 Na 0.642 0.279 0.279
5 Na 0.721 0.358 0.721
6 Na 0.721 0.721 0.358
7 Tl 0.008 0.360 0.360
8 Tl 0.022 0.022 0.693
9 Tl 0.022 0.693 0.022
10 Tl 0.307 0.978 0.978
11 Tl 0.360 0.008 0.360
12 Tl 0.360 0.360 0.008
13 Tl 0.640 0.640 0.992
14 Tl 0.640 0.992 0.640
15 Tl 0.693 0.022 0.022
16 Tl 0.978 0.307 0.978
17 Tl 0.978 0.978 0.307
18 Tl 0.992 0.640 0.640
19 As 0.500 0.500 0.500

Calculated values
space-group type = No. 166
energy = -2.24 eV per atom

4.
The following is a DFT calculation (PBE) of a relaxed Ce4Ru crystal.

Unit cell a=7.410 b=7.410 c=7.410 alpha=60.00 beta=60.00 gamma=60.00
Element x y z (fractional)
1 Ce 0.202 0.766 0.766
2 Ce 0.234 0.234 0.234
3 Ce 0.234 0.234 0.798
4 Ce 0.234 0.798 0.234
5 Ce 0.766 0.202 0.766
6 Ce 0.766 0.766 0.202
7 Ce 0.766 0.766 0.766
8 Ce 0.798 0.234 0.234
9 Ru 0.375 0.375 0.375
10 Ru 0.625 0.625 0.625

Calculated values
space-group type = No. 227
excess energy over the best structure of this formula in the dataset = 1.649 eV per formula unit

5.
The following is a DFT calculation (PBE) of a relaxed Hf2ReCl crystal.

Unit cell a=7.859 b=7.859 c=7.859 alpha=139.02 beta=139.02 gamma=59.34
Element x y z (fractional)
1 Hf 0.097 0.625 0.972
2 Hf 0.375 0.347 0.472
3 Hf 0.653 0.125 0.028
4 Hf 0.875 0.903 0.528
5 Re 0.000 0.000 0.000
6 Re 0.750 0.250 0.500
7 Cl 0.250 0.750 0.500
8 Cl 0.500 0.500 0.000

Calculated values
space-group type = No. 122
formation energy (no corrections) = 220 kJ/mol of formula units
excess energy over the best structure of this formula in the dataset = 1.663 eV per formula unit

6.
The following is a DFT calculation (PBE) of a relaxed K2YCr crystal.

Unit cell a=10.890 b=10.890 c=10.890 alpha=160.09 beta=155.64 gamma=31.66
Element x y z (fractional)
1 K 0.156 0.156 0.000
2 K 0.844 0.844 0.000
3 Y 0.500 0.000 0.500
4 Cr 0.000 0.500 0.500

Calculated values
space-group type = No. 71
excess energy over the best structure of this formula in the dataset = 0.285 eV per formula unit

7.
The following is a DFT calculation (PBE) of a relaxed Pa3CS5 crystal.

Unit cell a=7.422 b=7.422 c=8.732 alpha=104.52 beta=104.52 gamma=75.05
Element x y z (fractional)
1 Pa 0.000 0.000 0.000
2 Pa 0.000 0.000 0.500
3 Pa 0.276 0.276 0.392
4 Pa 0.343 0.343 0.839
5 Pa 0.657 0.657 0.161
6 Pa 0.724 0.724 0.608
7 C 0.077 0.077 0.286
8 C 0.923 0.923 0.714
9 S 0.007 0.375 0.630
10 S 0.238 0.238 0.068
11 S 0.298 0.702 0.000
12 S 0.375 0.007 0.630
13 S 0.477 0.477 0.656
14 S 0.523 0.523 0.344
15 S 0.625 0.993 0.370
16 S 0.702 0.298 0.000
17 S 0.762 0.762 0.932
18 S 0.993 0.625 0.370

Calculated values
space-group type = No. 12
formation energy (no corrections) = -1068 kJ/mol of formula units